1.
The following is a DFT calculation (PBE-GGA) of a relaxed structure of Sr8MgCd2. Values from VASP.

```
&SYSTEM
  ibrav = 0, nat = 11, ntyp = 3
/
ATOMIC_SPECIES
Cd 112.41 Cd.upf
Sr 87.62 Sr.upf
Mg 24.30 Mg.upf
CELL_PARAMETERS angstrom
5.532 0.000 -1.683
-1.486 8.598 -4.883
0.025 -0.124 10.011
ATOMIC_POSITIONS angstrom
Cd 4.006 2.528 3.232
Cd 0.064 5.946 0.212
Sr 2.369 7.493 -2.146
Sr 3.515 7.341 1.619
Sr 0.555 1.133 1.825
Sr -0.474 2.744 -1.558
Sr 1.065 4.660 3.500
Sr 3.005 3.814 -0.056
Sr 4.544 5.730 5.003
Sr 1.701 0.981 5.590
Mg 2.766 0.000 -0.842
```

SG = Immm, No. 71



2.
The following is a DFT calculation (PBE-GGA) of a relaxed structure of Sr8MgCd2. Values from VASP.

```
&SYSTEM
  ibrav = 0, nat = 11, ntyp = 3
/
ATOMIC_SPECIES
Sr 87.62 Sr.upf
Mg 24.30 Mg.upf
Cd 112.41 Cd.upf
CELL_PARAMETERS angstrom
5.833 0.000 0.000
0.000 8.445 0.064
-2.917 -3.548 9.698
ATOMIC_POSITIONS angstrom
Sr 2.917 3.249 1.899
Sr 0.000 1.649 7.863
Sr 0.000 1.193 3.830
Sr 2.917 6.878 3.414
Sr 0.000 6.375 0.669
Sr 2.917 3.705 5.932
Sr 2.917 -1.477 9.093
Sr 0.000 -1.980 6.347
Mg 2.917 0.000 0.000
Cd 2.917 0.301 6.170
Cd 0.000 4.597 3.591
```

SG = C2/m, No. 12



2 is favored, and the nearest alternative lies 0.042 eV/atom above it.



1.
The following is a DFT calculation (PBE-GGA) of a relaxed structure of SrMgZn2Cd. Values from VASP.

```
&SYSTEM
  ibrav = 0, nat = 5, ntyp = 4
/
ATOMIC_SPECIES
Mg 24.30 Mg.upf
Cd 112.41 Cd.upf
Sr 87.62 Sr.upf
Zn 65.41 Zn.upf
CELL_PARAMETERS angstrom
5.127 0.000 0.000
0.000 5.294 0.000
0.000 0.000 5.127
ATOMIC_POSITIONS angstrom
Mg 0.000 0.000 0.000
Cd 0.000 2.647 0.000
Sr 2.564 2.647 2.564
Zn 0.000 0.000 2.564
Zn 2.564 0.000 0.000
```

SG = P4/mmm, No. 123



2.
The following is a DFT calculation (PBE-GGA) of a relaxed structure of SrMgZn2Cd. Values from VASP.

```
&SYSTEM
  ibrav = 0, nat = 5, ntyp = 4
/
ATOMIC_SPECIES
Sr 87.62 Sr.upf
Mg 24.30 Mg.upf
Cd 112.41 Cd.upf
Zn 65.41 Zn.upf
CELL_PARAMETERS angstrom
-2.151 -3.773 -1.033
3.822 -1.921 -0.940
-0.341 0.958 6.857
ATOMIC_POSITIONS angstrom
Sr 0.447 -1.709 5.311
Mg 2.099 -1.680 1.764
Cd 1.166 -4.109 2.935
Zn 0.056 -0.214 0.664
Zn -0.898 -2.563 1.584
```

SG = Imm2, No. 44



2 is favored, and the nearest alternative lies 0.301 eV/atom above it.



1.
The following is a DFT calculation (PBE-GGA) of a relaxed structure of MgTa2Cd. Values from VASP.

```
&SYSTEM
  ibrav = 0, nat = 4, ntyp = 3
/
ATOMIC_SPECIES
Ta 180.95 Ta.upf
Mg 24.30 Mg.upf
Cd 112.41 Cd.upf
CELL_PARAMETERS angstrom
4.778 0.000 0.000
2.389 4.138 0.000
2.389 1.379 3.901
ATOMIC_POSITIONS angstrom
Ta 2.389 1.379 0.975
Ta 0.000 0.000 0.000
Mg 7.167 4.138 2.926
Cd 4.778 2.759 1.951
```

SG = F-43m, No. 216



2.
The following is a DFT calculation (PBE-GGA) of a relaxed structure of MgTa2Cd. Values from VASP.

```
&SYSTEM
  ibrav = 0, nat = 4, ntyp = 3
/
ATOMIC_SPECIES
Mg 24.30 Mg.upf
Ta 180.95 Ta.upf
Cd 112.41 Cd.upf
CELL_PARAMETERS angstrom
2.908 -0.002 0.000
-0.779 2.802 0.000
0.000 0.000 9.543
ATOMIC_POSITIONS angstrom
Mg 1.065 1.400 7.207
Ta 1.065 1.400 2.283
Ta 0.000 0.000 0.090
Cd 0.000 0.000 4.735
```

SG = Cmm2, No. 35



3.
The following is a DFT calculation (PBE-GGA) of a relaxed structure of MgTa2Cd. Values from VASP.

```
&SYSTEM
  ibrav = 0, nat = 4, ntyp = 3
/
ATOMIC_SPECIES
Mg 24.30 Mg.upf
Ta 180.95 Ta.upf
Cd 112.41 Cd.upf
CELL_PARAMETERS angstrom
3.641 0.000 0.000
0.000 3.641 0.000
0.000 0.000 5.726
ATOMIC_POSITIONS angstrom
Mg 1.820 1.820 4.294
Ta 0.000 0.000 0.004
Ta 0.000 0.000 2.859
Cd 1.820 1.820 1.431
```

SG = P4/mmm, No. 123



4.
The following is a DFT calculation (PBE-GGA) of a relaxed structure of MgTa2Cd. Values from VASP.

```
&SYSTEM
  ibrav = 0, nat = 4, ntyp = 3
/
ATOMIC_SPECIES
Ta 180.95 Ta.upf
Cd 112.41 Cd.upf
Mg 24.30 Mg.upf
CELL_PARAMETERS angstrom
5.761 -0.028 0.030
-3.127 4.839 0.030
0.426 0.778 2.759
ATOMIC_POSITIONS angstrom
Ta 0.000 0.000 0.000
Ta 1.317 2.405 0.030
Cd 3.093 0.375 1.395
Mg -1.350 2.808 1.395
```

SG = C2/m, No. 12



2 is favored, and the nearest alternative lies 0.197 eV/atom above it.